DFT (GGA-PBE) results for crystalline BeCrPt at its relaxed geometry.

Computed properties:
energy above the most stable polymorph in this dataset: 40.5 kJ/mol of formula units
spin magnetization: 0.0 μB per formula unit
crystal system: monoclinic

a = 4.711 Å, b = 4.711 Å, c = 5.199 Å
α = 116.81°, β = 116.81°, γ = 45.92°
Sites, in units of the cell vectors:
Be 0.000 0.000 0.000
Be 0.693 0.693 0.812
Cr 0.340 0.340 0.623
Cr 0.687 0.687 0.341
Pt 0.027 0.027 0.539
Pt 0.330 0.330 0.107